A plane-wave DFT calculation with PBE was carried out for a relaxed structure of BiRh3Pb5.

Computed properties:
N(E_F) = 0.617 states/eV per atom
SG = C2/m (12)
final energy = -44.76 eV/f.u.

abc: 7.5853 7.5853 10.0528
angles: 67.41 67.41 76.05
Atoms (fractional coordinates):
Rh 0.3302 0.3302 0.1650
Rh 0.6610 0.6610 0.3422
Rh 0.3390 0.3390 0.6578
Rh 0.0000 0.0000 0.0000
Rh 0.6698 0.6698 0.8350
Rh 0.0000 0.0000 0.5000
Pb 0.9540 0.3782 0.3301
Pb 0.2404 0.2404 0.9675
Pb 0.6218 0.0460 0.6699
Pb 0.7106 0.2894 0.0000
Pb 0.5707 0.5707 0.6468
Pb 0.2894 0.7106 0.0000
Pb 0.3782 0.9540 0.3301
Pb 0.0460 0.6218 0.6699
Pb 0.7596 0.7596 0.0325
Pb 0.4293 0.4293 0.3532
Bi 0.0982 0.0982 0.6927
Bi 0.9018 0.9018 0.3073